1.
Here is GaP2HPt after structural relaxation from Alexandria via LeMat-Bulk. Energies are from PBE-GGA.

Unit cell a=4.4962 b=3.7348 c=9.9022 alpha=90.00 beta=94.51 gamma=90.00
Closest atoms and distances in Å follow each position.
Atoms (fractional coordinates):
1 Ga 0.4411 0.0000 0.2764  3 P 2.38-2.61, 1 Pt 2.55
2 Ga 0.4411 0.5000 0.7764  3 P 2.38-2.61, 1 Pt 2.55
3 P 0.3954 0.0000 0.0358  1 P 2.20, 1 Ga 2.38, 2 Pt 2.38
4 P 0.3954 0.5000 0.5358  1 P 2.20, 1 Ga 2.38, 2 Pt 2.38
5 P 0.7617 0.0000 0.9009  1 P 2.20, 2 Pt 2.44
6 P 0.7617 0.5000 0.4009  1 P 2.20, 2 Pt 2.44
7 H 0.9390 0.0000 0.6116  1 Pt 1.64
8 H 0.9390 0.5000 0.1116  1 Pt 1.64
9 Pt 0.0912 0.0000 0.4669  1 H 1.64
10 Pt 0.0912 0.5000 0.9669  1 H 1.64

Energy relative to the lowest polymorph listed for this composition: 0.082 eV/atom
Density: 6.57 Mg/m³
SG: Cm, No. 8


2.
Here is GaP2HPt after structural relaxation from Alexandria via LeMat-Bulk. Energies are from PBE-GGA.

Unit cell a=3.2219 b=4.6914 c=5.7289 alpha=93.01 beta=106.94 gamma=110.69
Closest atoms and distances in Å follow each position.
Atoms (fractional coordinates):
1 Ga 0.7315 0.7966 0.2625  1 P 2.51, 3 H 2.58-2.62, 3 Pt 2.68-2.77
2 P 0.5372 0.8503 0.8139  2 P 2.18
3 P 0.2185 0.1866 0.8294  2 P 2.18, 1 Pt 2.39
4 H 0.5297 0.2591 0.4011  2 Pt 1.77
5 Pt 0.1469 0.4198 0.4666  2 H 1.77

Energy relative to the lowest polymorph listed for this composition: 0.150 eV/atom
Density: 7.13 Mg/m³
SG: P1, No. 1


3.
Here is GaP2HPt after structural relaxation from Alexandria via LeMat-Bulk. Energies are from PBE-GGA.

Unit cell a=3.5318 b=3.2433 c=6.4749 alpha=90.00 beta=93.76 gamma=90.00
Closest atoms and distances in Å follow each position.
Atoms (fractional coordinates):
1 Ga 0.8138 0.5000 0.6804  1 P 2.45, 4 H 2.48-2.51, 4 Pt 2.57-2.58
2 P 0.8372 0.5000 0.0591  2 P 2.22, 1 Ga 2.45
3 P 0.2314 0.0000 0.1652  2 P 2.22, 1 Pt 2.39
4 H 0.3337 0.0000 0.7869  1 Pt 1.63
5 Pt 0.2962 0.0000 0.5350  1 H 1.63

Energy relative to the lowest polymorph listed for this composition: 0.110 eV/atom
Density: 7.35 Mg/m³
SG: Pm, No. 6


4.
Here is GaP2HPt after structural relaxation from Alexandria via LeMat-Bulk. Energies are from PBE-GGA.

Unit cell a=4.4676 b=3.8315 c=5.1058 alpha=90.00 beta=96.68 gamma=90.00
Closest atoms and distances in Å follow each position.
Atoms (fractional coordinates):
1 Ga 0.2639 0.0000 0.3114  3 P 2.35-2.37
2 P 0.5295 0.5000 0.4696  2 Ga 2.35, 2 Pt 2.36-2.42
3 P 0.9878 0.0000 0.8857  1 H 1.43
4 H 0.6876 0.0000 0.9579  1 P 1.43
5 Pt 0.0437 0.5000 0.6363  4 P 2.33-2.42

Energy relative to the lowest polymorph listed for this composition: 0.087 eV/atom
Density: 6.27 Mg/m³
SG: Pm, No. 6